No. 1
Compound: GdPu6
Source: the Alexandria database
Functional: PBE
Structure: optimized geometry

Cell lengths 5.797, 5.797, 5.797 Å; angles 109.47, 109.47, 109.47 degrees
Fractional coordinates of all 7 atoms:
Gd: 0.000 0.000 0.000
Pu: 0.250 0.500 0.750
Pu: 0.250 0.750 0.500
Pu: 0.500 0.250 0.750
Pu: 0.500 0.750 0.250
Pu: 0.750 0.250 0.500
Pu: 0.750 0.500 0.250

Spin magnetization, μB per atom: 1.033
Energy of formation from the pure elements, eV/atom: 0.13
Volume, Å³/cell: 149.94
DOS(E_F), states/eV per atom: 2.39

No. 2
Compound: NbCrBi2
Source: the Alexandria database
Functional: PBE
Structure: optimized geometry

Cell lengths 5.001, 5.001, 5.001 Å; angles 60.00, 60.00, 60.00 degrees
Fractional coordinates of all 4 atoms:
Nb: 0.000 0.000 0.000
Cr: 0.500 0.500 0.500
Bi: 0.250 0.250 0.250
Bi: 0.750 0.750 0.750

Polymorph energy (0 for the lowest one), meV per atom: 0
Spin magnetization, μB per atom: 0.642
Energy of formation from the pure elements, eV/atom: 0.47
Volume, Å³/cell: 88.42
DOS(E_F), states/eV per atom: 0.60

No. 3
Compound: Pm4HgGeO
Source: the Alexandria database
Functional: PBE
Structure: optimized geometry

Cell lengths 8.738, 8.738, 6.691 Å; angles 90.00, 90.00, 135.05 degrees
Fractional coordinates of all 14 atoms:
Pm: 0.000 0.500 0.000
Pm: 0.000 0.500 0.500
Pm: 0.072 0.928 0.750
Pm: 0.424 0.576 0.750
Pm: 0.500 0.000 0.000
Pm: 0.500 0.000 0.500
Pm: 0.576 0.424 0.250
Pm: 0.928 0.072 0.250
Hg: 0.387 0.613 0.250
Hg: 0.613 0.387 0.750
Ge: 0.115 0.885 0.250
Ge: 0.885 0.115 0.750
O: 0.254 0.746 0.750
O: 0.746 0.254 0.250

Spin magnetization, μB per atom: 0.000
E, eV per formula unit: -37.02
Volume, Å³/cell: 360.90
DOS(E_F), states/eV per atom: 0.63

No. 4
Compound: Rb2FeAgCl6
Source: the Alexandria database
Functional: PBE
Structure: optimized geometry

Cell lengths 7.034, 7.034, 7.034 Å; angles 114.70, 114.70, 99.46 degrees
Fractional coordinates of all 10 atoms:
Rb: 0.250 0.750 0.500
Rb: 0.750 0.250 0.500
Fe: 0.000 0.000 0.000
Ag: 0.500 0.500 0.000
Cl: 0.231 0.231 0.462
Cl: 0.231 0.769 0.000
Cl: 0.243 0.243 0.000
Cl: 0.757 0.757 0.000
Cl: 0.769 0.231 0.000
Cl: 0.769 0.769 0.538

Spin magnetization, μB per atom: 0.469
E, eV per formula unit: -35.72
Volume, Å³/cell: 261.95
DOS(E_F), states/eV per atom: 1.51

No. 5
Compound: RhW2Se
Source: the Alexandria database
Functional: PBE
Structure: optimized geometry

Cell lengths 4.866, 4.866, 4.745 Å; angles 105.52, 105.52, 35.43 degrees
Fractional coordinates of all 4 atoms:
Rh: 0.000 0.000 0.000
W: 0.258 0.258 0.868
W: 0.493 0.493 0.490
Se: 0.751 0.751 0.344

Spin magnetization, μB per atom: 0.000
E, eV per formula unit: -35.67
Volume, Å³/cell: 62.49
DOS(E_F), states/eV per atom: 0.66

No. 6
Compound: LiTa2P
Source: the Alexandria database
Functional: PBE
Structure: optimized geometry

Cell lengths 2.949, 2.949, 8.084 Å; angles 90.00, 90.00, 106.31 degrees
Fractional coordinates of all 4 atoms:
Li: 0.000 0.000 0.000
Ta: 0.500 0.500 0.290
Ta: 0.500 0.500 0.710
P: 0.000 0.000 0.500

Spin magnetization, μB per atom: 0.000
Energy of formation from the pure elements, eV/atom: 0.06
Volume, Å³/cell: 67.46
DOS(E_F), states/eV per atom: 0.73

No. 7
Compound: TiV3Ga4
Source: the Alexandria database
Functional: PBE
Structure: optimized geometry

Cell lengths 5.547, 7.637, 5.511 Å; angles 90.00, 90.00, 90.00 degrees
Fractional coordinates of all 16 atoms:
Ti: 0.000 0.000 0.000
Ti: 0.500 0.000 0.500
V: 0.000 0.500 0.000
V: 0.250 0.259 0.250
V: 0.250 0.741 0.750
V: 0.500 0.500 0.500
V: 0.750 0.259 0.250
V: 0.750 0.741 0.750
Ga: 0.000 0.000 0.500
Ga: 0.000 0.500 0.500
Ga: 0.250 0.256 0.750
Ga: 0.250 0.744 0.250
Ga: 0.500 0.000 0.000
Ga: 0.500 0.500 0.000
Ga: 0.750 0.256 0.750
Ga: 0.750 0.744 0.250

Spin magnetization, μB per atom: 0.000
Energy of formation from the pure elements, eV/atom: -0.19
Volume, Å³/cell: 233.47
DOS(E_F), states/eV per atom: 0.93

No. 8
Compound: SrPu2O5
Source: the Alexandria database
Functional: PBE
Structure: optimized geometry

Cell lengths 7.268, 7.268, 7.268 Å; angles 127.29, 127.29, 77.78 degrees
Fractional coordinates of all 16 atoms:
Sr: 0.250 0.250 0.000
Sr: 0.750 0.750 0.000
Pu: 0.168 0.668 0.836
Pu: 0.332 0.168 0.500
Pu: 0.668 0.832 0.500
Pu: 0.832 0.332 0.164
O: 0.000 0.000 0.000
O: 0.034 0.222 0.500
O: 0.222 0.722 0.188
O: 0.278 0.466 0.500
O: 0.466 0.966 0.188
O: 0.500 0.500 0.000
O: 0.534 0.034 0.812
O: 0.722 0.534 0.500
O: 0.778 0.278 0.812
O: 0.966 0.778 0.500

Spin magnetization, μB per atom: 1.000
E, eV per formula unit: -77.54
Volume, Å³/cell: 235.58
DOS(E_F), states/eV per atom: 1.32